# 1
MgTc2Au: optimized geometry, PBE.

a = 4.700 Å, b = 4.700 Å, c = 5.143 Å
α = 83.64°, β = 83.64°, γ = 34.67°
Atoms (fractional coordinates):
1 Mg 0.246 0.246 0.271
2 Au 0.497 0.497 0.474
3 Tc 0.755 0.755 0.790
4 Tc 0.003 0.003 0.965

## Properties
N(E_F), states/eV per cell: 3.6
Space-group type: No. 8
Offset from the most stable computed form, eV/f.u.: 0.665
Energy of formation from the pure elements, eV/atom: 0.12

# 2
MgTcAu2: optimized geometry, PBE.

a = 4.605 Å, b = 4.605 Å, c = 4.605 Å
α = 60.00°, β = 60.00°, γ = 60.00°
Atoms (fractional coordinates):
1 Au 0.000 0.000 0.000
2 Tc 0.750 0.750 0.750
3 Mg 0.500 0.500 0.500
4 Au 0.250 0.250 0.250

## Properties
N(E_F), states/eV per cell: 1.8
Space-group type: No. 216
Offset from the most stable computed form, eV/f.u.: 0.749
Energy of formation from the pure elements, eV/atom: 0.17

# 3
MgTcAu2: optimized geometry, PBE.

a = 3.357 Å, b = 3.357 Å, c = 6.104 Å
α = 90.00°, β = 90.00°, γ = 90.00°
Atoms (fractional coordinates):
1 Tc 0.500 0.500 0.753
2 Mg 0.000 0.000 0.496
3 Au 0.000 0.000 0.987
4 Au 0.500 0.500 0.264

## Properties
N(E_F), states/eV per cell: 3.0
Space-group type: No. 99
Offset from the most stable computed form, eV/f.u.: 0.592
Energy of formation from the pure elements, eV/atom: 0.13

# 4
MgTc2Au: optimized geometry, PBE.

a = 3.296 Å, b = 4.132 Å, c = 4.649 Å
α = 90.00°, β = 90.00°, γ = 90.00°
Atoms (fractional coordinates):
1 Au 0.500 0.000 0.500
2 Tc 0.500 0.500 0.000
3 Tc 0.000 0.000 0.000
4 Mg 0.000 0.500 0.500

## Properties
N(E_F), states/eV per cell: 3.3
Space-group type: No. 47
Offset from the most stable computed form, eV/f.u.: 0.734
Energy of formation from the pure elements, eV/atom: 0.14